# Hf2TiAg

Hf2TiAg after structural relaxation (PBE, Alexandria).

Lattice parameters (Å, degrees): 4.8177 4.8177 4.8177 60.00 60.00 60.00
Closest atoms and distances in Å follow each position.
Sites, in units of the cell vectors:
Hf: 0.2500 0.2500 0.2500  4 Ti 2.95, 4 Ag 2.95
Hf: 0.7500 0.7500 0.7500  4 Ti 2.95, 4 Ag 2.95
Ag: 0.5000 0.5000 0.5000  8 Hf 2.95
Ti: 0.0000 0.0000 0.0000  8 Hf 2.95

Calculated values
Total magnetic moment = 2.30 μB/cell
E above lowest polymorph = 195 meV per atom
Calculated volume = 19.8 A^3/atom
Formation energy from the elements = 0.158 eV/atom